4
Lattice="3.707 0.000 0.000 1.854 3.210 0.000 1.854 1.070 5.679" Properties=species:S:1:pos:R:3 comment="InPRh2, optimized geometry, DFT GGA-PBE" volume_a3_per_fu=68 e_form_ev_per_atom=-0.49 magmom_total_mub_per_cell=0.00 space_group="R3m (160)" total_energy_ev_per_cell=-24.81 pbc="T T T"
Rh 1.854 1.070 4.729
Rh 1.854 1.070 0.959
P 5.561 3.210 5.649
In 3.707 2.140 2.861